{
  "formula": "TaNiTe",
  "functional": "SCAN",
  "state": "single point on PBEsol structure",
  "m_tot_mub_per_cell": 1.01,
  "space_group": "F-43m",
  "e_tot_ev_per_atom": -39.58,
  "lattice_angstrom": [[0.000, 3.002, 3.002], [3.002, 0.000, 3.002], [3.002, 3.002, 0.000]],
  "species": ["Ta", "Ni", "Te"],
  "fractional_positions": [[0.000, 0.000, 0.000], [0.250, 0.250, 0.250], [0.500, 0.500, 0.500]]
}

{
  "formula": "TaNiTe2",
  "functional": "SCAN",
  "state": "single point on PBEsol structure",
  "m_tot_mub_per_cell": 0.00,
  "space_group": "R-3m",
  "e_tot_ev_per_atom": -38.81,
  "lattice_angstrom": [[1.669, 0.964, 8.682], [-1.669, 0.964, 8.682], [0.000, -1.927, 8.682]],
  "species": ["Ta", "Ni", "Te", "Te"],
  "fractional_positions": [[0.000, 0.000, 0.000], [0.500, 0.500, 0.500], [0.104, 0.104, 0.104], [0.896, 0.896, 0.896]]
}

{
  "formula": "TaNiTe2",
  "functional": "SCAN",
  "state": "single point on PBEsol structure",
  "m_tot_mub_per_cell": 0.00,
  "space_group": "P4mm",
  "e_tot_ev_per_atom": -39.33,
  "lattice_angstrom": [[3.486, 0.000, 0.000], [0.000, 3.486, 0.000], [0.000, 0.000, 7.016]],
  "species": ["Ta", "Ni", "Te", "Te"],
  "fractional_positions": [[0.000, 0.000, 0.000], [0.500, 0.500, 0.804], [0.000, 0.000, 0.627], [0.500, 0.500, 0.190]]
}

{
  "formula": "TaNiTe2",
  "functional": "SCAN",
  "state": "single point on PBEsol structure",
  "m_tot_mub_per_cell": 0.00,
  "space_group": "Pmna",
  "e_tot_ev_per_atom": -39.71,
  "lattice_angstrom": [[7.868, 0.000, 0.000], [0.000, 7.271, 0.000], [0.000, 0.000, 6.162]],
  "species": ["Ta", "Ta", "Ta", "Ta", "Ni", "Ni", "Ni", "Ni", "Te", "Te", "Te", "Te", "Te", "Te", "Te", "Te"],
  "fractional_positions": [[0.207, 0.000, 0.000], [0.293, 0.000, 0.500], [0.707, 0.000, 0.500], [0.793, 0.000, 0.000], [0.000, 0.118, 0.354], [0.000, 0.882, 0.646], [0.500, 0.118, 0.146], [0.500, 0.882, 0.854], [0.000, 0.226, 0.751], [0.000, 0.774, 0.249], [0.250, 0.321, 0.250], [0.250, 0.679, 0.750], [0.500, 0.226, 0.749], [0.500, 0.774, 0.251], [0.750, 0.321, 0.250], [0.750, 0.679, 0.750]]
}

Calculated DOS at the Fermi energy (states/eV per atom), listed in the same order as above: 1.03, 1.06, 0.60, 0.47
Calculated ΔE_f (raw) (eV per atom), listed in the same order as above: 0.42, 0.50, -0.02, -0.39